Entry 1:
SCAN PtPbS2Cl, PBEsol geometry; uncorrected formation energy = 1.04 eV/atom; symmetry = P4/mmm (123); VASP energy = -33.60 eV per atom
1.0
5.086 0.000 0.000
0.000 5.086 0.000
0.000 0.000 5.024
Pt Pb S Cl
1 1 2 1
Direct
0.000 0.000 0.000
0.500 0.500 0.500
0.000 0.500 0.500
0.500 0.000 0.500
0.500 0.500 0.000

=====

Entry 2:
SCAN Rb5Pb6Cl16, PBEsol geometry; uncorrected formation energy = -1.54 eV/atom; symmetry = P4/mbm (127); VASP energy = -26.95 eV per atom
1.0
11.826 0.000 0.000
0.000 11.826 0.000
0.000 0.000 10.689
Rb Pb Cl
10 12 32
Direct
0.000 0.000 0.000
0.119 0.381 0.000
0.137 0.363 0.500
0.363 0.863 0.500
0.381 0.881 0.000
0.500 0.500 0.000
0.619 0.119 0.000
0.637 0.137 0.500
0.863 0.637 0.500
0.881 0.619 0.000
0.000 0.000 0.349
0.000 0.000 0.651
0.176 0.676 0.266
0.176 0.676 0.734
0.324 0.176 0.266
0.324 0.176 0.734
0.500 0.500 0.349
0.500 0.500 0.651
0.676 0.824 0.266
0.676 0.824 0.734
0.824 0.324 0.266
0.824 0.324 0.734
0.000 0.500 0.278
0.000 0.500 0.722
0.083 0.202 0.220
0.083 0.202 0.780
0.090 0.788 0.500
0.158 0.658 0.000
0.202 0.917 0.220
0.202 0.917 0.780
0.212 0.090 0.500
0.288 0.590 0.500
0.298 0.417 0.220
0.298 0.417 0.780
0.342 0.158 0.000
0.410 0.288 0.500
0.417 0.702 0.220
0.417 0.702 0.780
0.500 0.000 0.278
0.500 0.000 0.722
0.583 0.298 0.220
0.583 0.298 0.780
0.590 0.712 0.500
0.658 0.842 0.000
0.702 0.583 0.220
0.702 0.583 0.780
0.712 0.410 0.500
0.788 0.910 0.500
0.798 0.083 0.220
0.798 0.083 0.780
0.842 0.342 0.000
0.910 0.212 0.500
0.917 0.798 0.220
0.917 0.798 0.780

=====

Entry 3:
SCAN Rh2PbCl, PBEsol geometry; uncorrected formation energy = 0.22 eV/atom; symmetry = Imm2 (44); VASP energy = -37.60 eV per atom
1.0
-1.492 1.987 5.964
1.492 -1.987 5.964
1.492 1.987 -5.964
Rh Pb Cl
2 1 1
Direct
0.000 0.000 0.000
0.806 0.306 0.500
0.602 0.602 0.000
0.325 0.825 0.500

=====

In order of appearance, magnetic moment = 1.742, 0.920, 0.000 μB/f.u..